First-principles (PBE) data for a geometry-optimized YHf structure, as listed in the Alexandria database.

Results
total energy: -14.1 eV/f.u.
space group: No. 225
N(E_F): 2.2332 states/eV/atom
energy of formation from the pure elements: 1.1740 eV per atom

a = 6.1526 Å, b = 6.1526 Å, c = 6.1526 Å
α = 90.00°, β = 90.00°, γ = 90.00°
Fractional positions:
Y  0.0000  0.0000  0.0000
Hf  0.0000  0.0000  0.5000
Hf  0.0000  0.5000  0.0000
Y  0.5000  0.0000  0.5000
Y  0.5000  0.5000  0.0000
Hf  0.5000  0.0000  0.0000
Y  0.0000  0.5000  0.5000
Hf  0.5000  0.5000  0.5000